(1)
Hg2AsW at its PBEsol-relaxed geometry, computed with meta-GGA SCAN.

Cell lengths 9.2499, 9.2499, 9.2499 Å; angles 19.52, 19.52, 19.52 degrees
Sites, in units of the cell vectors:
Hg  0.0000  0.0000  0.0000
Hg  0.2416  0.2416  0.2416
As  0.4812  0.4812  0.4812
W  0.7513  0.7513  0.7513

Properties
Space-group type: No. 160
DOS(E_F), states/eV/cell: 2.6
ρ, g/cm3: 14.19
Size of the total moment, μB per atom: 0.000
Formation energy from the elements, eV per formula unit: 1.49

=====

(2)
NbMo3F at its PBEsol-relaxed geometry, computed with meta-GGA SCAN.

Cell lengths 4.1718, 4.1718, 4.1718 Å; angles 90.00, 90.00, 90.00 degrees
Sites, in units of the cell vectors:
Nb  0.0000  0.0000  0.0000
Mo  0.0000  0.5000  0.5000
Mo  0.5000  0.0000  0.5000
Mo  0.5000  0.5000  0.0000
F  0.5000  0.5000  0.5000

Properties
Space-group type: No. 221
DOS(E_F), states/eV/cell: 5.9
ρ, g/cm3: 9.14
Formation energy from raw total energies, meV/atom: 464
Size of the total moment, μB per atom: 0.000

=====

(3)
CrHgMo2 at its PBEsol-relaxed geometry, computed with meta-GGA SCAN.

Cell lengths 4.9354, 4.9354, 2.7200 Å; angles 90.00, 90.00, 112.94 degrees
Sites, in units of the cell vectors:
Cr  0.0000  0.0000  0.0000
Hg  0.5000  0.5000  0.0000
Mo  0.0000  0.5000  0.5000
Mo  0.5000  0.0000  0.5000

Properties
Space-group type: No. 65
DOS(E_F), states/eV/cell: 3.1
ρ, g/cm3: 12.10
Size of the total moment, μB per atom: 0.000
Formation energy from the elements, eV per formula unit: 2.38

=====

(4)
TiTeI2 at its PBEsol-relaxed geometry, computed with meta-GGA SCAN.

Cell lengths 5.2469, 5.2469, 5.2469 Å; angles 60.00, 60.00, 60.00 degrees
Sites, in units of the cell vectors:
Ti  0.0000  0.0000  0.0000
Te  0.5000  0.5000  0.5000
I  0.2500  0.2500  0.2500
I  0.7500  0.7500  0.7500

Properties
Space-group type: No. 225
DOS(E_F), states/eV/cell: 4.3
ρ, g/cm3: 6.98
Formation energy from raw total energies, meV/atom: 358
Size of the total moment, μB per atom: 0.145

=====

(5)
TaCr2Au at its PBEsol-relaxed geometry, computed with meta-GGA SCAN.

Cell lengths 4.3776, 4.3776, 4.3776 Å; angles 60.00, 60.00, 60.00 degrees
Sites, in units of the cell vectors:
Ta  0.0000  0.0000  0.0000
Cr  0.5000  0.5000  0.5000
Cr  0.7500  0.7500  0.7500
Au  0.2500  0.2500  0.2500

Properties
Space-group type: No. 216
DOS(E_F), states/eV/cell: 4.3
ρ, g/cm3: 13.49
Size of the total moment, μB per atom: 0.418
Formation energy from the elements, eV per formula unit: 0.39

=====

(6)
BaLi2AlTl at its PBEsol-relaxed geometry, computed with meta-GGA SCAN.

Cell lengths 5.1777, 5.1777, 5.4175 Å; angles 90.00, 90.00, 90.00 degrees
Sites, in units of the cell vectors:
Ba  0.0000  0.0000  0.0000
Li  0.0000  0.5000  0.5000
Li  0.5000  0.0000  0.5000
Al  0.5000  0.5000  0.0000
Tl  0.5000  0.5000  0.5000

Properties
Space-group type: No. 123
DOS(E_F), states/eV/cell: 3.4
ρ, g/cm3: 4.37
Size of the total moment, μB per atom: 0.000
Formation energy from the elements, eV per formula unit: -0.59